Record 1
Density functional theory data (PBE) for CsP2Ir2 after structural relaxation.

Unit cell a=7.782 b=7.782 c=7.782 alpha=150.44 beta=150.44 gamma=42.30
Positions (direct):
Cs  0.000  0.000  0.000
P  0.338  0.338  0.000
P  0.662  0.662  0.000
Ir  0.250  0.750  0.500
Ir  0.750  0.250  0.500

Summary:
As for the total energy: -6.5277 eV per atom. Its space group is I4/mmm.


Record 2
Density functional theory data (PBE) for CsPaIr after structural relaxation.

Unit cell a=4.836 b=4.836 c=4.836 alpha=60.00 beta=60.00 gamma=60.00
Positions (direct):
Cs  0.000  0.000  0.000
Pa  0.750  0.750  0.750
Ir  0.250  0.250  0.250

Summary:
The value obtained for the energy above the lowest structure with this stoichiometry is 678.9 meV per atom. Its space group is F-43m.


Record 3
Density functional theory data (PBE) for CsPaIr after structural relaxation.

Unit cell a=4.885 b=4.885 c=4.885 alpha=60.00 beta=60.00 gamma=60.00
Positions (direct):
Cs  0.000  0.000  0.000
Pa  0.250  0.250  0.250
Ir  0.500  0.500  0.500

Summary:
The value obtained for the energy above the lowest structure with this stoichiometry is 0.0 meV per atom. Its space group is F-43m.


Record 4
Density functional theory data (PBE) for CsIr3Pb5 after structural relaxation.

Unit cell a=5.763 b=5.763 c=8.866 alpha=90.00 beta=90.00 gamma=120.00
Positions (direct):
Cs  0.000  0.000  0.000
Ir  0.000  0.500  0.500
Ir  0.500  0.000  0.500
Ir  0.500  0.500  0.500
Pb  0.000  0.000  0.500
Pb  0.333  0.667  0.240
Pb  0.333  0.667  0.760
Pb  0.667  0.333  0.240
Pb  0.667  0.333  0.760

Summary:
As for the total energy: -5.0296 eV per atom. Its space group is P6/mmm.


Record 5
Density functional theory data (PBE) for CsSb2IrPb after structural relaxation.

Unit cell a=7.766 b=7.766 c=7.766 alpha=143.14 beta=143.14 gamma=53.12
Positions (direct):
Cs  0.000  0.000  0.000
Sb  0.354  0.354  0.000
Sb  0.646  0.646  0.000
Ir  0.250  0.750  0.500
Pb  0.750  0.250  0.500

Summary:
As for the total energy: -4.2069 eV per atom. Its space group is I-4m2.


Record 6
Density functional theory data (PBE) for CsTe3IrPd after structural relaxation.

Unit cell a=9.396 b=4.094 c=10.728 alpha=90.00 beta=114.79 gamma=90.00
Positions (direct):
Cs  0.032  0.250  0.280
Cs  0.968  0.750  0.720
Te  0.264  0.750  0.126
Te  0.343  0.750  0.576
Te  0.359  0.250  0.875
Te  0.641  0.750  0.125
Te  0.657  0.250  0.424
Te  0.736  0.250  0.874
Ir  0.468  0.250  0.150
Ir  0.532  0.750  0.850
Pd  0.461  0.750  0.386
Pd  0.539  0.250  0.614

Summary:
As for the total energy: -4.4817 eV per atom. Its space group is P2_1/m.


Record 7
Density functional theory data (PBE) for CsPuIr after structural relaxation.

Unit cell a=5.069 b=5.069 c=5.069 alpha=60.00 beta=60.00 gamma=60.00
Positions (direct):
Cs  0.000  0.000  0.000
Pu  0.500  0.500  0.500
Ir  0.250  0.250  0.250

Summary:
As for the total energy: -7.2930 eV per atom. Its space group is F-43m.


Record 8
Density functional theory data (PBE) for CsIrS2 after structural relaxation.

Unit cell a=7.219 b=7.219 c=5.422 alpha=100.83 beta=100.83 gamma=114.96
Positions (direct):
Cs  0.144  0.856  0.750
Cs  0.856  0.144  0.250
Ir  0.500  0.500  0.250
Ir  0.500  0.500  0.750
S  0.208  0.416  0.906
S  0.416  0.208  0.406
S  0.584  0.792  0.594
S  0.792  0.584  0.094

Summary:
As for the total energy: -5.0700 eV per atom. Its space group is C2/c.


Record 9
Density functional theory data (PBE) for Cs2Ir3S4 after structural relaxation.

Unit cell a=9.139 b=8.135 c=5.964 alpha=79.18 beta=60.96 gamma=39.87
Positions (direct):
Cs  0.158  0.158  0.842
Cs  0.842  0.842  0.158
Ir  0.000  0.000  0.500
Ir  0.500  0.500  0.000
Ir  0.500  0.500  0.500
S  0.227  0.562  0.438
S  0.438  0.773  0.227
S  0.562  0.227  0.773
S  0.773  0.438  0.562

Summary:
As for the total energy: -5.5197 eV per atom. Its space group is Fmmm.


Record 10
Density functional theory data (PBE) for CsIrS2 after structural relaxation.

Unit cell a=7.623 b=7.623 c=7.623 alpha=138.47 beta=124.09 gamma=71.99
Positions (direct):
Cs  0.172  0.172  0.000
Cs  0.828  0.828  0.000
Ir  0.500  0.250  0.750
Ir  0.500  0.750  0.250
S  0.240  0.500  0.740
S  0.349  0.849  0.500
S  0.651  0.151  0.500
S  0.760  0.500  0.260

Summary:
As for the total energy: -5.0694 eV per atom. Its space group is Immm.


Record 11
Density functional theory data (PBE) for CsSbIr after structural relaxation.

Unit cell a=5.216 b=5.216 c=5.216 alpha=60.00 beta=60.00 gamma=60.00
Positions (direct):
Cs  0.000  0.000  0.000
Sb  0.250  0.250  0.250
Ir  0.750  0.750  0.750

Summary:
The value obtained for the energy above the lowest structure with this stoichiometry is 1112.8 meV per atom. Its space group is F-43m.


Record 12
Density functional theory data (PBE) for CsSbIr after structural relaxation.

Unit cell a=5.022 b=5.022 c=5.022 alpha=60.00 beta=60.00 gamma=60.00
Positions (direct):
Cs  0.000  0.000  0.000
Sb  0.500  0.500  0.500
Ir  0.250  0.250  0.250

Summary:
The value obtained for the energy above the lowest structure with this stoichiometry is 0.0 meV per atom. Its space group is F-43m.


Record 13
Density functional theory data (PBE) for CsSb2Ir2 after structural relaxation.

Unit cell a=4.479 b=4.479 c=14.762 alpha=90.00 beta=90.00 gamma=120.00
Positions (direct):
Cs  0.000  0.000  0.250
Cs  0.000  0.000  0.750
Sb  0.333  0.667  0.069
Sb  0.333  0.667  0.431
Sb  0.667  0.333  0.569
Sb  0.667  0.333  0.931
Ir  0.000  0.000  0.000
Ir  0.000  0.000  0.500
Ir  0.333  0.667  0.750
Ir  0.667  0.333  0.250

Summary:
As for the total energy: -4.3954 eV per atom. Its space group is P6_3/mmc.


Record 14
Density functional theory data (PBE) for CsSb5Ir3 after structural relaxation.

Unit cell a=5.766 b=5.766 c=9.364 alpha=90.00 beta=90.00 gamma=120.00
Positions (direct):
Cs  0.000  0.000  0.000
Sb  0.000  0.000  0.500
Sb  0.333  0.667  0.271
Sb  0.333  0.667  0.729
Sb  0.667  0.333  0.271
Sb  0.667  0.333  0.729
Ir  0.000  0.500  0.500
Ir  0.500  0.000  0.500
Ir  0.500  0.500  0.500

Summary:
As for the total energy: -5.4623 eV per atom. Its space group is P6/mmm.


Record 15
Density functional theory data (PBE) for CsTlSb2Ir after structural relaxation.

Unit cell a=7.730 b=7.730 c=7.730 alpha=143.56 beta=143.56 gamma=52.49
Positions (direct):
Cs  0.000  0.000  0.000
Tl  0.750  0.250  0.500
Sb  0.354  0.354  0.000
Sb  0.646  0.646  0.000
Ir  0.250  0.750  0.500

Summary:
As for the total energy: -3.9375 eV per atom. Its space group is I-4m2.


Record 16
Density functional theory data (PBE) for CsScIrSe3 after structural relaxation.

Unit cell a=9.312 b=3.956 c=10.101 alpha=90.00 beta=114.40 gamma=90.00
Positions (direct):
Cs  0.220  0.250  0.247
Cs  0.780  0.750  0.753
Sc  0.330  0.750  0.861
Sc  0.670  0.250  0.139
Ir  0.082  0.250  0.591
Ir  0.918  0.750  0.409
Se  0.129  0.250  0.855
Se  0.217  0.750  0.555
Se  0.471  0.750  0.150
Se  0.529  0.250  0.850
Se  0.783  0.250  0.445
Se  0.871  0.750  0.145

Summary:
The value obtained for the energy above the lowest structure with this stoichiometry is 0.0 meV per atom. Its space group is P2_1/m.


Record 17
Density functional theory data (PBE) for CsScIrSe3 after structural relaxation.

Unit cell a=8.476 b=8.476 c=9.897 alpha=90.00 beta=90.00 gamma=153.07
Positions (direct):
Cs  0.249  0.751  0.750
Cs  0.751  0.249  0.250
Sc  0.000  0.000  0.000
Sc  0.000  0.000  0.500
Ir  0.485  0.515  0.250
Ir  0.515  0.485  0.750
Se  0.075  0.925  0.250
Se  0.390  0.610  0.060
Se  0.390  0.610  0.440
Se  0.610  0.390  0.560
Se  0.610  0.390  0.940
Se  0.925  0.075  0.750

Summary:
The value obtained for the energy above the lowest structure with this stoichiometry is 27.3 meV per atom. Its space group is Cmcm.


Record 18
Density functional theory data (PBE) for CsIr3Se4 after structural relaxation.

Unit cell a=6.925 b=6.925 c=6.925 alpha=127.02 beta=127.02 gamma=78.22
Positions (direct):
Cs  0.000  0.000  0.000
Ir  0.250  0.750  0.500
Ir  0.500  0.500  0.000
Ir  0.750  0.250  0.500
Se  0.147  0.147  0.629
Se  0.482  0.853  0.000
Se  0.518  0.518  0.371
Se  0.853  0.482  0.000

Summary:
As for the total energy: -5.1667 eV per atom. Its space group is I-42m.


Record 19
Density functional theory data (PBE) for CsSiIr after structural relaxation.

Unit cell a=4.792 b=4.792 c=4.792 alpha=60.00 beta=60.00 gamma=60.00
Positions (direct):
Cs  0.000  0.000  0.000
Si  0.500  0.500  0.500
Ir  0.250  0.250  0.250

Summary:
The value obtained for the energy above the lowest structure with this stoichiometry is 0.0 meV per atom. Its space group is F-43m.


Record 20
Density functional theory data (PBE) for CsSn5Ir3 after structural relaxation.

Unit cell a=5.622 b=5.622 c=9.193 alpha=90.00 beta=90.00 gamma=120.00
Positions (direct):
Cs  0.000  0.000  0.000
Sn  0.000  0.000  0.500
Sn  0.333  0.667  0.258
Sn  0.333  0.667  0.742
Sn  0.667  0.333  0.258
Sn  0.667  0.333  0.742
Ir  0.000  0.500  0.500
Ir  0.500  0.000  0.500
Ir  0.500  0.500  0.500

Summary:
As for the total energy: -5.4441 eV per atom. Its space group is P6/mmm.